1.
Ta2TcBr after structural relaxation, computed with PBE.

a = 2.995 Å, b = 2.995 Å, c = 9.288 Å
α = 90.00°, β = 90.00°, γ = 113.92°
Fractional positions:
Tc 0.000 0.000 0.466
Br 0.500 0.500 0.775
Ta 0.000 0.000 0.003
Ta 0.500 0.500 0.257

## Properties
Uncorrected formation energy = 0.29 eV per atom
Symmetry = Cmm2, No. 35


2.
BeSb2Ru after structural relaxation, computed with PBE.

a = 3.121 Å, b = 3.121 Å, c = 8.137 Å
α = 90.00°, β = 90.00°, γ = 90.00°
Fractional positions:
Sb 0.000 0.000 0.902
Sb 0.500 0.500 0.344
Be 0.000 0.000 0.570
Ru 0.500 0.500 0.684

## Properties
Uncorrected formation energy = -0.07 eV per atom
Symmetry = P4mm, No. 99


3.
SrEr3As4O12 after structural relaxation, computed with PBE.

a = 7.132 Å, b = 7.132 Å, c = 7.132 Å
α = 105.06°, β = 105.06°, γ = 105.06°
Fractional positions:
Sr 0.000 0.000 0.000
Er 0.568 0.432 0.000
Er 0.432 0.000 0.568
Er 0.000 0.568 0.432
As 0.911 0.089 0.500
As 0.089 0.500 0.911
As 0.500 0.911 0.089
As 0.500 0.500 0.500
O 0.500 0.330 0.670
O 0.931 0.500 0.069
O 0.069 0.931 0.500
O 0.500 0.069 0.931
O 0.355 0.012 0.247
O 0.247 0.355 0.012
O 0.012 0.247 0.355
O 0.645 0.753 0.988
O 0.988 0.645 0.753
O 0.753 0.988 0.645
O 0.670 0.500 0.330
O 0.330 0.670 0.500

## Properties
Uncorrected formation energy = -2.00 eV per atom
Symmetry = R32, No. 155


4.
TbAlIr after structural relaxation, computed with PBE.

a = 3.839 Å, b = 4.304 Å, c = 4.304 Å
α = 120.00°, β = 90.00°, γ = 90.00°
Fractional positions:
Ir 0.167 0.000 0.000
Tb 0.667 0.333 0.667
Al 0.167 0.667 0.333

## Properties
ΔE_f = -0.749 eV per atom
Symmetry = P-6m2, No. 187


5.
TiTlReBr2 after structural relaxation, computed with PBE.

a = 5.809 Å, b = 5.480 Å, c = 5.809 Å
α = 90.00°, β = 90.00°, γ = 90.00°
Fractional positions:
Re 0.000 0.500 0.000
Tl 0.000 0.000 0.000
Br 0.000 0.000 0.500
Br 0.500 0.000 0.000
Ti 0.500 0.500 0.500

## Properties
Uncorrected formation energy = 1.62 eV per atom
Symmetry = P4/mmm, No. 123


6.
Pr12Cd2In5 after structural relaxation, computed with PBE.

a = 7.580 Å, b = 9.653 Å, c = 9.414 Å
α = 82.64°, β = 90.00°, γ = 113.12°
Fractional positions:
Pr 0.960 0.921 0.192
Pr 0.074 0.671 0.923
Pr 0.598 0.671 0.923
Pr 0.094 0.695 0.500
Pr 0.600 0.695 0.500
Pr 0.492 0.984 0.686
Pr 0.508 0.016 0.314
Pr 0.906 0.305 0.500
Pr 0.400 0.305 0.500
Pr 0.926 0.329 0.077
Pr 0.402 0.329 0.077
Pr 0.040 0.079 0.808
Cd 0.676 0.000 0.000
Cd 0.324 0.000 0.000
In 0.230 0.459 0.752
In 0.305 0.610 0.232
In 0.000 0.000 0.500
In 0.695 0.390 0.768
In 0.770 0.541 0.248

## Properties
ΔE_f = -0.168 eV per atom
Symmetry = C2/m, No. 12


7.
Sr2CuRh after structural relaxation, computed with PBE.

a = 3.632 Å, b = 3.667 Å, c = 8.499 Å
α = 64.31°, β = 90.00°, γ = 90.00°
Fractional positions:
Cu 0.500 0.250 0.250
Rh 0.500 0.750 0.750
Sr 0.000 0.015 0.984
Sr 0.000 0.485 0.516

## Properties
ΔE_f = -0.065 eV per atom
Symmetry = P2/m, No. 10


8.
Tb4Y7Mg after structural relaxation, computed with PBE.

a = 6.393 Å, b = 8.499 Å, c = 11.941 Å
α = 65.83°, β = 70.19°, γ = 41.23°
Fractional positions:
Tb 0.728 0.384 0.233
Tb 0.272 0.616 0.767
Tb 0.820 0.709 0.583
Tb 0.180 0.291 0.417
Y 0.742 0.546 0.908
Y 0.258 0.454 0.092
Y 0.137 0.136 0.729
Y 0.863 0.864 0.271
Y 0.356 0.790 0.421
Y 0.500 0.000 0.000
Y 0.644 0.210 0.579
Mg 0.000 0.000 0.000

## Properties
ΔE_f = 0.110 eV per atom
Symmetry = C2/m, No. 12


| no. | density of states at the Fermi level (states/eV per cell) |
| --- | --- |
| 1 | 2.3 |
| 2 | 0.8 |
| 3 | 4.5 |
| 4 | 2.0 |
| 5 | 11.3 |
| 6 | 19.8 |
| 7 | 1.4 |
| 8 | 19.4 |